DFT (PBE) results for a relaxed structure of LaInAu.

Cell and atoms, written as POSCAR:
```
LaInAu
1.0
7.4902 0.0000 0.0000
-3.7451 6.4867 0.0000
0.0000 0.0000 4.7524
La In Au
3 3 3
Cartesian
-2.1274 3.6847 0.0000
1.6177 2.8019 0.0000
4.2548 0.0000 0.0000
0.0000 0.0000 0.0000
0.0000 4.3244 2.3762
3.7451 2.1622 2.3762
-0.9044 1.5664 2.3762
1.8088 0.0000 2.3762
2.8407 4.9202 2.3762
```

For the raw total energy, the calculation gives -4.21 eV/atom.

DFT (PBE) results for a relaxed structure of LaInAu2.

Cell and atoms, written as POSCAR:
```
LaInAu2
1.0
8.5818 0.0000 0.0000
0.0000 7.2658 0.0000
0.0000 0.0000 6.2259
La In Au
4 4 8
Cartesian
0.3960 1.8165 1.0529
3.8949 5.4494 4.1659
4.6869 1.8165 2.0600
8.1857 5.4494 5.1730
0.8175 5.4494 2.0966
3.4734 1.8165 5.2095
5.1084 5.4494 1.0164
7.7643 1.8165 4.1294
1.6810 0.3366 3.6695
1.6810 3.2963 3.6695
2.6099 3.9695 0.5565
2.6099 6.9292 0.5565
5.9719 0.3366 5.6694
5.9719 3.2963 5.6694
6.9008 3.9695 2.5565
6.9008 6.9292 2.5565
```

For the raw total energy, the calculation gives -4.17 eV/atom.

DFT (PBE) results for a relaxed structure of LaInAu2.

Cell and atoms, written as POSCAR:
```
LaInAu2
1.0
4.6708 0.0000 0.0000
0.0000 1.9400 5.3874
0.0000 -1.9400 5.3874
La In Au
1 1 2
Cartesian
0.0000 0.0000 0.0000
2.3354 0.0000 7.7214
0.0000 0.0000 2.9495
2.3354 0.0000 4.7049
```

For the raw total energy, the calculation gives -4.13 eV/atom.

DFT (PBE) results for a relaxed structure of LaInAu2.

Cell and atoms, written as POSCAR:
```
LaInAu2
1.0
-2.5597 2.5597 3.6022
2.5597 -2.5597 3.6022
2.5597 2.5597 -3.6022
La In Au
1 1 2
Cartesian
0.0000 0.0000 0.0000
0.0000 0.0000 3.6022
2.5597 0.0000 1.8011
0.0000 2.5597 1.8011
```

For the raw total energy, the calculation gives -4.26 eV/atom.

DFT (PBE) results for a relaxed structure of LaInAu2.

Cell and atoms, written as POSCAR:
```
LaInAu2
1.0
5.0458 0.0000 0.0000
0.0000 7.2108 0.0000
0.0000 0.0000 5.2017
La In Au
2 2 4
Cartesian
1.2615 1.8027 1.1617
3.7844 5.4081 4.0401
1.2615 5.4081 1.2930
3.7844 1.8027 3.9087
1.2615 0.0550 3.7456
1.2615 3.5504 3.7456
3.7844 3.6604 1.4561
3.7844 7.1558 1.4561
```

For the raw total energy, the calculation gives -4.26 eV/atom.

DFT (PBE) results for a relaxed structure of LaInAu.

Cell and atoms, written as POSCAR:
```
LaInAu
1.0
8.4450 0.0000 0.0000
-4.2225 7.3136 0.0000
0.0000 0.0000 3.7152
La In Au
3 3 3
Cartesian
-1.2402 2.1481 0.0000
2.4805 0.0000 0.0000
2.9823 5.1654 0.0000
0.0000 0.0000 1.8576
0.0000 4.8757 0.0000
4.2225 2.4379 0.0000
-2.6788 4.6397 1.8576
1.5437 2.6738 1.8576
5.3575 0.0000 1.8576
```

For the raw total energy, the calculation gives -3.96 eV/atom.

DFT (PBE) results for a relaxed structure of LiLaInAu.

Cell and atoms, written as POSCAR:
```
LiLaInAu
1.0
5.0278 0.0000 0.0000
0.0000 5.0278 0.0000
0.0000 0.0000 7.1087
Li La In Au
2 2 2 2
Cartesian
0.0000 0.0000 0.0000
2.5139 2.5139 3.5544
0.0000 2.5139 5.3284
2.5139 0.0000 1.7803
0.0000 2.5139 1.7656
2.5139 0.0000 5.3431
0.0000 0.0000 3.5544
2.5139 2.5139 0.0000
```

For the raw total energy, the calculation gives -3.82 eV/atom.

DFT (PBE) results for a relaxed structure of Li2LaMgIn2Au2.

Cell and atoms, written as POSCAR:
```
Li2LaMgIn2Au2
1.0
4.8569 0.0000 0.0000
0.0000 4.8569 0.0000
0.0000 0.0000 7.0428
Li La Mg In Au
2 1 1 2 2
Cartesian
0.0000 2.4284 1.4706
2.4284 0.0000 5.5722
0.0000 0.0000 3.5214
2.4284 2.4284 0.0000
0.0000 0.0000 0.0000
2.4284 2.4284 3.5214
0.0000 2.4284 5.4731
2.4284 0.0000 1.5697
```

For the raw total energy, the calculation gives -3.27 eV/atom.

DFT (PBE) results for a relaxed structure of La3Mg3In2Au.

Cell and atoms, written as POSCAR:
```
La3Mg3In2Au
1.0
7.7634 0.0000 0.0000
-3.8817 6.7233 0.0000
0.0000 0.0000 4.7615
La Mg In Au
3 3 2 1
Cartesian
-1.5774 2.7322 0.0000
3.1549 0.0000 0.0000
2.3043 3.9911 0.0000
-2.9796 5.1609 2.3807
0.9021 1.5625 2.3807
5.9592 0.0000 2.3807
0.0000 4.4822 2.3807
3.8817 2.2411 2.3807
0.0000 0.0000 0.0000
```

For the raw total energy, the calculation gives -3.63 eV/atom.

DFT (PBE) results for a relaxed structure of LaMg2InAu.

Cell and atoms, written as POSCAR:
```
LaMg2InAu
1.0
-2.2528 2.2528 6.1758
2.2528 -2.2528 6.1758
2.2528 2.2528 -6.1758
La Mg In Au
1 2 1 1
Cartesian
0.0000 0.0000 0.0000
2.2528 0.0000 3.1871
0.0000 2.2528 3.1871
0.0000 0.0000 7.4955
0.0000 0.0000 4.7472
```

For the raw total energy, the calculation gives -3.29 eV/atom.

DFT (PBE) results for a relaxed structure of La3Mg3InAu2.

Cell and atoms, written as POSCAR:
```
La3Mg3InAu2
1.0
7.6730 0.0000 0.0000
-3.8365 6.6450 0.0000
0.0000 0.0000 4.6159
La Mg In Au
3 3 1 2
Cartesian
-1.6560 2.8682 0.0000
3.3120 0.0000 0.0000
2.1805 3.7768 0.0000
-2.8955 5.0151 2.3080
0.9410 1.6299 2.3080
5.7910 0.0000 2.3080
0.0000 0.0000 0.0000
0.0000 4.4300 2.3080
3.8365 2.2150 2.3080
```

For the raw total energy, the calculation gives -3.75 eV/atom.

DFT (PBE) results for a relaxed structure of La3Mg2InPt2Au.

Cell and atoms, written as POSCAR:
```
La3Mg2InPt2Au
1.0
4.1793 0.0000 0.0000
0.0000 6.7039 3.8945
0.0000 -6.7039 3.8945
La Mg In Pt Au
3 2 1 2 1
Cartesian
0.0000 0.0000 0.0000
0.0000 -2.7629 4.9246
0.0000 2.7629 4.9246
2.0896 -1.6670 2.3273
2.0896 1.6670 2.3273
2.0896 0.0000 5.1914
2.0896 -4.4405 3.3290
2.0896 4.4405 3.3290
0.0000 0.0000 3.1501
```

For the raw total energy, the calculation gives -4.87 eV/atom.

DFT (PBE) results for a relaxed structure of La3MgIn2Pt2Au.

Cell and atoms, written as POSCAR:
```
La3MgIn2Pt2Au
1.0
4.1410 0.0000 0.0000
0.0000 6.7987 3.9035
0.0000 -6.7987 3.9035
La Mg In Pt Au
3 1 2 2 1
Cartesian
0.0000 0.0000 0.0000
0.0000 -2.8422 2.9803
0.0000 2.8422 2.9803
2.0705 0.0000 2.6089
2.0705 -1.7087 5.5753
2.0705 1.7087 5.5753
2.0705 -4.5676 4.6283
2.0705 4.5676 4.6283
0.0000 0.0000 4.4507
```

For the raw total energy, the calculation gives -5.03 eV/atom.

DFT (PBE) results for a relaxed structure of LaNd2In3Pd2Au.

Cell and atoms, written as POSCAR:
```
LaNd2In3Pd2Au
1.0
4.0854 0.0000 0.0000
0.0000 6.7871 3.9339
0.0000 -6.7871 3.9339
La Nd In Pd Au
1 2 3 2 1
Cartesian
0.0000 0.0000 0.0000
0.0000 -2.7841 4.8693
0.0000 2.7841 4.8693
2.0427 -1.7868 2.2410
2.0427 1.7868 2.2410
2.0427 0.0000 5.2638
2.0427 -4.5336 3.2553
2.0427 4.5336 3.2553
0.0000 0.0000 3.2414
```

For the raw total energy, the calculation gives -4.80 eV/atom.

DFT (PBE) results for a relaxed structure of LaNd2In3PtAu2.

Cell and atoms, written as POSCAR:
```
LaNd2In3PtAu2
1.0
4.0963 0.0000 0.0000
0.0000 6.8385 3.9463
0.0000 -6.8385 3.9463
La Nd In Pt Au
1 2 3 1 2
Cartesian
0.0000 0.0000 0.0000
0.0000 -2.7639 3.0998
0.0000 2.7639 3.0998
2.0481 0.0000 2.7263
2.0481 -1.7149 5.6732
2.0481 1.7149 5.6732
0.0000 0.0000 4.6780
2.0481 -4.5334 4.7002
2.0481 4.5334 4.7002
```

For the raw total energy, the calculation gives -4.74 eV/atom.

DFT (PBE) results for a relaxed structure of LaPr2In3Pt2Au.

Cell and atoms, written as POSCAR:
```
LaPr2In3Pt2Au
1.0
4.0844 0.0000 0.0000
0.0000 6.8019 3.9372
0.0000 -6.8019 3.9372
La Pr In Pt Au
1 2 3 2 1
Cartesian
0.0000 0.0000 0.0000
0.0000 -2.8071 2.9753
0.0000 2.8071 2.9753
2.0422 0.0000 2.5903
2.0422 -1.7767 5.6121
2.0422 1.7767 5.6121
2.0422 -4.5544 4.5955
2.0422 4.5544 4.5955
0.0000 0.0000 4.6119
```

For the raw total energy, the calculation gives -5.12 eV/atom.

DFT (PBE) results for a relaxed structure of LaTb2In3PtAu2.

Cell and atoms, written as POSCAR:
```
LaTb2In3PtAu2
1.0
4.0340 0.0000 0.0000
0.0000 6.7772 3.8916
0.0000 -6.7772 3.8916
La Tb In Pt Au
1 2 3 1 2
Cartesian
0.0000 0.0000 0.0000
0.0000 -2.7216 3.0709
0.0000 2.7216 3.0709
2.0170 0.0000 2.6786
2.0170 -1.7307 5.5949
2.0170 1.7307 5.5949
0.0000 0.0000 4.5931
2.0170 -4.4572 4.6429
2.0170 4.4572 4.6429
```

For the raw total energy, the calculation gives -4.72 eV/atom.

DFT (PBE) results for a relaxed structure of LiInAu2.

Cell and atoms, written as POSCAR:
```
LiInAu2
1.0
0.0000 3.3084 3.3084
3.3084 0.0000 3.3084
3.3084 3.3084 0.0000
Li In Au
1 1 2
Cartesian
0.0000 0.0000 0.0000
3.3084 3.3084 3.3084
1.6542 1.6542 1.6542
4.9626 4.9626 4.9626
```

For the raw total energy, the calculation gives -3.21 eV/atom.

DFT (PBE) results for a relaxed structure of LiInAu2.

Cell and atoms, written as POSCAR:
```
LiInAu2
1.0
4.7080 0.0000 0.0000
-2.3540 4.0772 0.0000
0.0000 0.0000 8.3521
Li In Au
2 2 4
Cartesian
0.0000 2.7182 2.0880
2.3540 1.3591 6.2641
0.0000 0.0000 0.0000
0.0000 0.0000 4.1760
0.0000 2.7182 4.8806
0.0000 2.7182 7.6475
2.3540 1.3591 0.7046
2.3540 1.3591 3.4715
```

For the raw total energy, the calculation gives -3.15 eV/atom.

DFT (PBE) results for a relaxed structure of LiInAu2.

Cell and atoms, written as POSCAR:
```
LiInAu2
1.0
-3.1264 3.7402 3.0991
3.1264 -3.7402 3.0991
3.1264 3.7402 -3.0991
Li In Au
2 2 4
Cartesian
0.0000 1.8701 0.0020
3.1264 1.8701 3.0971
3.1264 1.8701 0.0160
0.0000 1.8701 3.0831
1.5632 3.7251 -1.5496
1.5632 -0.0150 1.5496
-1.5632 3.7552 1.5496
1.5632 3.7552 1.5496
```

For the raw total energy, the calculation gives -3.20 eV/atom.

DFT (PBE) results for a relaxed structure of Li2InAu.

Cell and atoms, written as POSCAR:
```
Li2InAu
1.0
-2.2945 2.2945 3.2611
2.2945 -2.2945 3.2611
2.2945 2.2945 -3.2611
Li In Au
2 1 1
Cartesian
0.0000 0.0000 0.0000
0.0000 2.2945 1.6305
2.2945 0.0000 1.6305
0.0000 0.0000 3.2611
```

For the raw total energy, the calculation gives -2.93 eV/atom.

DFT (PBE) results for a relaxed structure of LiInAu6.

Cell and atoms, written as POSCAR:
```
LiInAu6
1.0
5.8617 0.0000 0.0000
-2.9308 5.0764 0.0000
0.0000 0.0000 4.8584
Li In Au
1 1 6
Cartesian
0.0000 0.0000 0.0000
2.9308 1.6921 2.4292
-1.4588 2.5420 0.0000
0.0000 1.6679 2.4292
-1.4864 4.2424 2.4292
1.4588 2.5420 0.0000
0.0000 5.0688 0.0000
1.4864 4.2424 2.4292
```

For the raw total energy, the calculation gives -3.27 eV/atom.